Here is a relaxed structure of LiIn2Te from Alexandria. Energies are from PBE.

Cell: 8.4207 8.4207 8.4207 Å, 27.62 27.62 27.62°
Closest atoms and distances in Å follow each position.
Fractional coordinates of all 4 atoms:
Te  0.7500  0.7500  0.7500  6 In 3.08
Li  0.2500  0.2500  0.2500  6 In 3.08
In  0.5001  0.5001  0.5001  3 Li 3.08, 3 Te 3.08
In  0.9999  0.9999  0.9999  3 Li 3.08, 3 Te 3.08

Crystal system: trigonal
E_form (uncorrected) (eV per formula unit): -0.65
Density (g/cm3): 5.339
Space group: No. 166